This record from Alexandria describes a relaxed Pm8Tm3 crystal. The functional is GGA-PBE.

The structure in POSCAR format:
```
Pm8Tm3
1.0
6.436 0.000 0.000
-3.142 6.089 0.000
-1.544 -2.477 9.491
Pm Tm
8 3
Direct
0.145 0.204 0.159
0.186 0.697 0.640
0.273 0.367 0.846
0.323 0.800 0.302
0.677 0.200 0.698
0.727 0.633 0.154
0.814 0.303 0.360
0.855 0.796 0.841
0.000 0.000 0.500
0.500 0.000 0.000
0.500 0.500 0.500
```

## Properties
DFT total energy (eV for the cell shown): -49.7
Distance to the lowest polymorph of the same formula (meV per atom): 0.0
Formation enthalpy at 0 K (eV/atom): 0.16
Total magnetization (μB/f.u.): 0.000

***

This record from Alexandria describes a relaxed MnCr2Re crystal. The functional is GGA-PBE.

The structure in POSCAR format:
```
MnCr2Re
1.0
4.139 0.000 0.000
0.000 4.139 0.000
0.000 0.000 2.976
Mn Cr Re
1 2 1
Direct
0.000 0.000 0.000
0.000 0.500 0.500
0.500 0.000 0.500
0.500 0.500 0.000
```

## Properties
DFT total energy (eV for the cell shown): -40.6
Formation enthalpy at 0 K (eV/atom): 0.06
Total magnetization (μB/f.u.): 1.463